Record 1
Material: Tm4Hg2Pt
Method: DFT, PBE
State: relaxed

Values from the calculation:
Formation energy from the elements ... -556.2 meV/atom
D(E_F) ... 5.215 states/eV/f.u.
Space group ... R-3m (166)
Energy above the most stable polymorph in this dataset ... 0 meV per atom
Electronic total energy ... -4.06 eV per atom

Cell lengths 5.0443, 5.0443, 8.7465 Å; angles 73.24, 73.24, 60.00 degrees
Fractional coordinates of all 7 atoms:
Tm  0.8806  0.8806  0.3584
Tm  0.1194  0.1194  0.6416
Tm  0.6291  0.6291  0.1126
Tm  0.3709  0.3709  0.8874
Hg  0.7581  0.7581  0.7256
Hg  0.2419  0.2419  0.2744
Pt  0.0000  0.0000  0.0000

Record 2
Material: AlPtBr
Method: DFT, PBE
State: relaxed

Values from the calculation:
Space group ... P3m1 (156)
Energy above the most stable polymorph in this dataset ... 216 meV per atom
Electronic total energy ... -4.31 eV per atom

Cell lengths 3.4984, 3.4984, 5.7792 Å; angles 90.00, 90.00, 120.00 degrees
Fractional coordinates of all 3 atoms:
Br  0.3333  0.6667  0.2932
Pt  0.6667  0.3333  0.7374
Al  0.0000  0.0000  0.9694

Record 3
Material: Cs
Method: DFT, PBE
State: relaxed

Values from the calculation:
Formation energy from the elements ... 227.9 meV/atom
D(E_F) ... 0.938 states/eV/f.u.
Space group ... I-43m (217)
Energy above the most stable polymorph in this dataset ... 228 meV per atom
Electronic total energy ... -0.63 eV per atom

Cell lengths 15.6602, 15.6602, 15.6602 Å; angles 90.00, 90.00, 90.00 degrees
Fractional coordinates of all 16 atoms:
Cs  0.1974  0.1974  0.1974
Cs  0.1974  0.8026  0.8026
Cs  0.8026  0.1974  0.8026
Cs  0.8026  0.8026  0.1974
Cs  0.6974  0.6974  0.6974
Cs  0.6974  0.3026  0.3026
Cs  0.3026  0.6974  0.3026
Cs  0.3026  0.3026  0.6974
Cs  0.3804  0.3804  0.3804
Cs  0.3804  0.6196  0.6196
Cs  0.6196  0.3804  0.6196
Cs  0.6196  0.6196  0.3804
Cs  0.8804  0.8804  0.8804
Cs  0.8804  0.1196  0.1196
Cs  0.1196  0.8804  0.1196
Cs  0.1196  0.1196  0.8804